# 1
Entry from Alexandria via LeMat-Bulk: a relaxed Sm3Cd2Ru crystal (PBE).

Lattice parameters (Å, degrees): 5.1602 7.7200 8.0726 90.00 108.54 90.00
Last column: nearest neighbours and their distance in Å.
Space group P2/m (No. 10)
Symmetry-distinct sites (fractional):
Sm (0.0000, 0.2306, 0.0000)  2 Ru 3.05, 6 Cd 3.13-3.31
Sm (0.3250, 0.2211, 0.6503)  3 Ru 3.03-3.10, 4 Cd 3.17-3.37
Cd (0.1658, 0.5000, 0.3300)  8 Sm 3.26-3.37, 2 Cd 3.60-3.62
Cd (0.5000, 0.0000, 0.0000)  8 Sm 3.13-3.17
Cd (0.5000, 0.5000, 0.0000)  8 Sm 3.31-3.44, 4 Cd 3.60-3.62
Ru (0.1618, 0.0000, 0.3237)  8 Sm 3.03-3.10

Calculated values
E_form ... -297.6 meV per atom
Total moment ... 0.0 μB/f.u.
Excess energy over the best structure of this formula in the dataset ... 0.00 eV per formula unit
D(E_F) ... 0.779 states/eV/atom

# 2
Entry from Alexandria via LeMat-Bulk: a relaxed Tb2PmPrSm5 crystal (PBE).

Lattice parameters (Å, degrees): 5.7088 20.2873 10.6877 90.00 90.00 90.00
Last column: nearest neighbours and their distance in Å.
Space group Cmc2_1 (No. 36)
Symmetry-distinct sites (fractional):
Tb (0.0000, 0.1125, 0.0000)  7 Sm 3.44-3.76, 1 Pm 3.48, 2 Pr 3.73
Tb (0.0000, 0.1161, 0.5899)  8 Sm 3.34-3.58
Pm (0.0000, 0.2014, 0.2785)  2 Tb 3.48-3.75, 8 Sm 3.54-3.84, 2 Pr 3.76
Pr (0.0000, 0.4148, 0.7179)  5 Sm 3.10-3.34
Sm (0.0000, 0.0168, 0.2922)  2 Pr 3.27, 2 Tb 3.44-3.46, 2 Sm 3.66
Sm (0.0000, 0.2806, 0.5786)  1 Pr 3.10, 1 Tb 3.34, 2 Sm 3.45
Sm (0.0000, 0.2975, 0.9743)  3 Sm 3.45-3.68, 3 Pm 3.54-3.79, 3 Tb 3.57-3.76, 1 Pr 3.63
Sm (0.0000, 0.3905, 0.2923)  6 Sm 3.51-3.89, 4 Tb 3.58-3.62, 1 Pm 3.84
Sm (0.0000, 0.4780, 0.0062)  2 Pr 3.14-3.34, 1 Sm 3.51

Calculated values
E_form ... 148.6 meV per atom
Total moment ... 0.0 μB/f.u.
D(E_F) ... 1.564 states/eV/atom